No. 1
Density functional theory data (PBE) for a geometry-optimized AgHgSeO structure.

Calculated values
Calculated total energy, eV per cell: -44.8
Crystal system: orthorhombic

a = 3.511 Å, b = 14.372 Å, c = 5.649 Å
α = 90.00°, β = 90.00°, γ = 90.00°
Space group Cmcm (No. 63)
Asymmetric unit:
Ag (0.000, 0.133, 0.250) x4
Hg (0.000, 0.432, 0.250) x4
Se (0.000, 0.222, 0.750) x4
O (0.000, 0.000, 0.000) x4


No. 2
Density functional theory data (PBE) for a geometry-optimized HfZrAlCu structure.

Calculated values
Calculated total energy, eV per cell: -100.8
M_tot, μB/f.u.: 1.913
Crystal system: cubic

a = 6.687 Å, b = 6.687 Å, c = 6.687 Å
α = 90.00°, β = 90.00°, γ = 90.00°
Space group F-43m (No. 216)
Asymmetric unit:
Hf (0.000, 0.000, 0.000) x4
Zr (0.250, 0.250, 0.250) x4
Al (0.000, 0.000, 0.500) x4
Cu (0.250, 0.250, 0.750) x4


No. 3
Density functional theory data (PBE) for a geometry-optimized HoBNO structure.

Calculated values
Calculated total energy, eV per cell: -129.2
M_tot, μB/f.u.: 0.001
Crystal system: orthorhombic

a = 4.925 Å, b = 7.562 Å, c = 4.504 Å
α = 90.00°, β = 90.00°, γ = 90.00°
Space group Pca2_1 (No. 29)
Asymmetric unit:
Ho (0.000, 0.176, 0.000) x4
B (0.128, 0.494, 0.265) x4
N (0.120, 0.495, 0.938) x4
O (0.007, 0.875, 0.001) x4


No. 4
Density functional theory data (PBE) for a geometry-optimized ZnOs structure.

Calculated values
Calculated total energy, eV per cell: -24.2
M_tot, μB/f.u.: 0.001
Energy relative to the elements, eV per atom: 0.18
Crystal system: orthorhombic

a = 2.769 Å, b = 4.376 Å, c = 4.654 Å
α = 90.00°, β = 90.00°, γ = 90.00°
Space group Pmmn (No. 59, origin choice 2)
Asymmetric unit:
Zn (0.250, 0.250, 0.073) x2
Os (0.250, 0.750, 0.419) x2


No. 5
Density functional theory data (PBE) for a geometry-optimized Er2Tm3ScBi2Os structure.

Calculated values
Calculated total energy, eV per cell: -106.4
M_tot, μB/f.u.: 0.031
Crystal system: orthorhombic

a = 4.199 Å, b = 13.987 Å, c = 8.158 Å
α = 90.00°, β = 90.00°, γ = 90.00°
Space group Amm2 (No. 38)
Asymmetric unit:
Er (0.000, 0.116, 0.000) x4
Tm (0.500, 0.000, 0.727) x2
Tm (0.500, 0.189, 0.309) x4
Sc (0.000, 0.000, 0.345) x2
Bi (0.000, 0.164, 0.612) x4
Os (0.500, 0.000, 0.130) x2


No. 6
Density functional theory data (PBE) for a geometry-optimized CdAg124 structure.

Calculated values
Calculated total energy, eV per cell: -1408.5
Energy relative to the elements, eV per atom: -0.01
Crystal system: cubic

a = 20.821 Å, b = 20.821 Å, c = 20.821 Å
α = 90.00°, β = 90.00°, γ = 90.00°
Space group Fm-3m (No. 225)
Asymmetric unit:
Cd (0.000, 0.000, 0.000) x4
Ag (0.000, 0.000, 0.200) x24
Ag (0.000, 0.000, 0.400) x24
Ag (0.000, 0.100, 0.300) x96
Ag (0.000, 0.101, 0.101) x48
Ag (0.000, 0.200, 0.200) x48
Ag (0.100, 0.100, 0.200) x96
Ag (0.100, 0.100, 0.400) x32
Ag (0.100, 0.200, 0.300) x96
Ag (0.200, 0.200, 0.200) x32


No. 7
Density functional theory data (PBE) for a geometry-optimized Ta2BeNi structure.

Calculated values
Calculated total energy, eV per cell: -125.9
M_tot, μB/f.u.: 0.022
Crystal system: cubic

a = 6.149 Å, b = 6.149 Å, c = 6.149 Å
α = 90.00°, β = 90.00°, γ = 90.00°
Space group F-43m (No. 216)
Asymmetric unit:
Ta (0.000, 0.000, 0.000) x4
Ta (0.250, 0.250, 0.250) x4
Be (0.000, 0.000, 0.500) x4
Ni (0.250, 0.250, 0.750) x4


No. 8
Density functional theory data (PBE) for a geometry-optimized NaErB4 structure.

Calculated values
Calculated total energy, eV per cell: -66.6
M_tot, μB/f.u.: 0.001
Crystal system: orthorhombic

a = 3.152 Å, b = 5.515 Å, c = 7.873 Å
α = 90.00°, β = 90.00°, γ = 90.00°
Space group Immm (No. 71)
Asymmetric unit:
Na (0.000, 0.000, 0.000) x2
Er (0.000, 0.000, 0.500) x2
B (0.000, 0.321, 0.243) x8


Question: What is the calculated total energy in the third record?
Answer: -129.2 eV per cell


Question: Among the records above, which one has the lowest calculated total energy?
Answer: CdAg124